Computed, not measured: a relaxed structure of MgPaSb2 at the PBE level of DFT.

Summary:
Calculated total energy (eV per atom): -5.146
Mass density (Mg/m³): 7.2
Formation energy (no corrections) (eV per atom): -0.313

Structure (CIF):
```
data_MgPaSb2
_chemical_formula_sum 'Mg1 Pa1 Sb2'
_symmetry_space_group_name_H-M 'P 1'
_symmetry_Int_Tables_number 1
_symmetry_space_group_name_Hall 'P 1'
_cell_length_a 7.4772
_cell_length_b 7.4772
_cell_length_c 7.4772
_cell_angle_alpha 33.89
_cell_angle_beta 33.89
_cell_angle_gamma 33.89
loop_
_atom_site_label
_atom_site_fract_x
_atom_site_fract_y
_atom_site_fract_z
Mg1 0.0000 0.0000 0.0000
Pa1 0.8307 0.8307 0.8307
Sb1 0.2482 0.2482 0.2482
Sb2 0.4119 0.4119 0.4119
```